# VZnI6 | Alexandria via LeMat-Bulk | GGA-PBE | relaxed
# E_form (uncorrected)	-0.336	eV/atom
# total magnetization	1.93	μB per cell
# E_tot	-2.7981	eV per atom
data_VZnI6
_chemical_formula_sum 'V2 Zn2 I12'
_cell_length_a 7.173
_cell_length_b 13.281
_cell_length_c 7.236
_cell_angle_alpha 90.00
_cell_angle_beta 113.31
_cell_angle_gamma 90.00
_symmetry_space_group_name_H-M 'C 1 2/m 1'
_symmetry_Int_Tables_number 12
_symmetry_space_group_name_Hall '-C 2y'
loop_
_atom_site_label
_atom_site_fract_x
_atom_site_fract_y
_atom_site_fract_z
V1 0.000 0.000 0.000
Zn1 0.000 0.500 0.500
I1 0.227 0.000 0.788
I2 0.249 0.355 0.745